Record 1
Density functional theory data (PBE) for a relaxed structure of PrSiPb.

Unit cell a=5.011 b=5.011 c=5.011 alpha=60.00 beta=60.00 gamma=60.00
Positions (direct):
Pb (0.250, 0.250, 0.250)
Si (0.000, 0.000, 0.000)
Pr (0.750, 0.750, 0.750)

## Properties
E_tot   -4.7639 eV/atom

***

Record 2
Density functional theory data (PBE) for a relaxed structure of PrSmPb.

Unit cell a=5.353 b=5.353 c=5.353 alpha=60.00 beta=60.00 gamma=60.00
Positions (direct):
Pb (0.250, 0.250, 0.250)
Pr (0.750, 0.750, 0.750)
Sm (0.000, 0.000, 0.000)

## Properties
E_tot   -4.1357 eV/atom

***

Record 3
Density functional theory data (PBE) for a relaxed structure of PrSmPb2.

Unit cell a=4.511 b=6.418 c=6.418 alpha=42.78 beta=90.00 gamma=90.00
Positions (direct):
Pb (0.000, 0.903, 0.903)
Pb (0.500, 0.097, 0.097)
Pr (0.000, 0.632, 0.632)
Sm (0.500, 0.368, 0.368)

## Properties
E_tot   -4.7859 eV/atom

***

Record 4
Density functional theory data (PBE) for a relaxed structure of Pr2SmPb7.

Unit cell a=13.386 b=13.386 c=4.779 alpha=90.00 beta=90.00 gamma=159.64
Positions (direct):
Pb (0.793, 0.207, 0.500)
Pb (0.000, 0.000, 0.500)
Pr (0.313, 0.687, 0.000)
Pb (0.404, 0.596, 0.500)
Sm (0.500, 0.500, 0.000)
Pb (0.596, 0.404, 0.500)
Pr (0.687, 0.313, 0.000)
Pb (0.095, 0.905, 0.000)
Pb (0.207, 0.793, 0.500)
Pb (0.905, 0.095, 0.000)

## Properties
E_tot   -4.4532 eV/atom